No. 1
Compound: Li2Zn3In
Source: Alexandria
Functional: PBE
Structure: optimized geometry

abc: 5.796 9.179 15.578
angles: 90.00 90.00 90.00
Space group Fmmm (No. 69)
Symmetry-distinct sites (fractional):
Li  0.246  0.000  0.000 (multiplicity 8)
Li  0.250  0.250  0.250 (multiplicity 8)
Zn  0.000  0.000  0.159 (multiplicity 8)
Zn  0.000  0.241  0.081 (multiplicity 16)
In  0.000  0.000  0.333 (multiplicity 8)

## Properties
**Total energy**: -1.90 eV/atom
**Fermi-level density of states**: 1.15 states/eV/f.u.
**Spin magnetization**: 0.00 Bohr magnetons per cell
**Energy above the most stable polymorph in this dataset**: 0.0 meV per atom
**Energy relative to the elements**: -167 meV per atom

---

No. 2
Compound: Li3Zn4In2
Source: Alexandria
Functional: PBE
Structure: optimized geometry

abc: 8.731 4.790 7.591
angles: 90.00 102.30 90.00
Space group C2/m (No. 12)
Symmetry-distinct sites (fractional):
Li  0.000  0.000  0.000 (multiplicity 2)
Li  0.047  0.500  0.321 (multiplicity 4)
Zn  0.105  0.000  0.677 (multiplicity 4)
Zn  0.164  0.500  0.014 (multiplicity 4)
In  0.222  0.000  0.332 (multiplicity 4)

## Properties
**Total energy**: -1.94 eV/atom
**Fermi-level density of states**: 2.08 states/eV/f.u.
**Spin magnetization**: 0.00 Bohr magnetons per cell
**Energy relative to the elements**: -131 meV per atom